(1)
An optimized crystal structure of NaHfPdS3, computed with PBE.

It has space group P2_1/m (No. 11), with a = 7.613 Å, b = 3.662 Å, c = 9.166 Å, α = 90.00°, β = 106.04° and γ = 90.00°. The inequivalent atoms are Na at (0.221, 0.250, 0.262), Hf at (0.322, 0.750, 0.830), Pd at (0.127, 0.250, 0.583), S at (0.096, 0.250, 0.847), S at (0.304, 0.750, 0.548) and S at (0.426, 0.750, 0.129).

The uncorrected formation energy comes out at -1.1525 eV per atom. As for the total energy: -5.960 eV per atom. The crystal system is monoclinic.

=====

(2)
An optimized crystal structure of BeNi, computed with PBE.

It has space group P-6m2 (No. 187), with a = 2.4755 Å, b = 2.4755 Å, c = 3.5262 Å, α = 90.00°, β = 90.00° and γ = 120.00°. The inequivalent atoms are Be at (0.0000, 0.0000, 0.0000) and Ni at (0.6667, 0.3333, 0.5000).

For the formation energy, the calculation gives -255.5 meV per atom. As for the total energy: -5.009 eV per atom. The crystal system is hexagonal.

=====

(3)
An optimized crystal structure of NbReMo2, computed with PBE.

It has space group I-42d (No. 122), with a = 7.262 Å, b = 7.262 Å, c = 5.327 Å, α = 90.00°, β = 90.00° and γ = 90.00°. The inequivalent atoms are Nb at (0.000, 0.000, 0.000), Re at (0.000, 0.000, 0.500) and Mo at (0.231, 0.750, 0.625).

For the formation energy, the calculation gives 720.6 meV per atom. As for the total energy: -10.324 eV per atom. The crystal system is tetragonal. Its energy above the lowest structure with this stoichiometry is 822 meV/atom.

=====

(4)
An optimized crystal structure of Pm2TmTl, computed with PBE.

It has space group P4/mmm (No. 123), with a = 3.634 Å, b = 3.634 Å, c = 9.449 Å, α = 90.00°, β = 90.00° and γ = 90.00°. The inequivalent atoms are Pm at (0.000, 0.000, 0.233), Tm at (0.500, 0.500, 0.500) and Tl at (0.500, 0.500, 0.000).

For the formation energy, the calculation gives -143.2 meV per atom. As for the total energy: -4.228 eV per atom. The crystal system is tetragonal. Its energy above the lowest structure with this stoichiometry is 46 meV/atom.

=====

(5)
An optimized crystal structure of PrAlZn2Pd, computed with PBE.

It has space group Imm2 (No. 44), with a = 4.080 Å, b = 4.310 Å, c = 11.203 Å, α = 90.00°, β = 90.00° and γ = 90.00°. The inequivalent atoms are Pr at (0.000, 0.000, 0.000), Al at (0.000, 0.500, 0.749), Zn at (0.000, 0.000, 0.610), Zn at (0.000, 0.500, 0.251) and Pd at (0.000, 0.000, 0.381).

For the formation energy, the calculation gives -531.5 meV per atom. As for the total energy: -3.784 eV per atom. The crystal system is orthorhombic.

=====

(6)
An optimized crystal structure of ScGaNF2, computed with PBE.

It has space group P4/mmm (No. 123), with a = 4.032 Å, b = 4.032 Å, c = 3.766 Å, α = 90.00°, β = 90.00° and γ = 90.00°. The inequivalent atoms are Sc at (0.000, 0.000, 0.000), Ga at (0.500, 0.500, 0.500), N at (0.500, 0.500, 0.000) and F at (0.000, 0.500, 0.500).

The uncorrected formation energy comes out at -1.3588 eV per atom. As for the total energy: -5.644 eV per atom. The crystal system is tetragonal. Its energy above the lowest structure with this stoichiometry is 406 meV/atom.

=====

What did the fifth record say?
An optimized crystal structure of PrAlZn2Pd, computed with PBE.

It has space group Imm2 (No. 44), with a = 4.080 Å, b = 4.310 Å, c = 11.203 Å, α = 90.00°, β = 90.00° and γ = 90.00°. The inequivalent atoms are Pr at (0.000, 0.000, 0.000), Al at (0.000, 0.500, 0.749), Zn at (0.000, 0.000, 0.610), Zn at (0.000, 0.500, 0.251) and Pd at (0.000, 0.000, 0.381).

For the formation energy, the calculation gives -531.5 meV per atom. As for the total energy: -3.784 eV per atom. The crystal system is orthorhombic.

=====

Question: What is the total energy in the fourth record?
Answer: -4.228 eV per atom